No. 1
# GGA-PBE HoSc3Te, relaxed
data_HoSc3Te
_cell_length_a 7.6598
_cell_length_b 7.6598
_cell_length_c 5.9389
_cell_angle_alpha 90.00
_cell_angle_beta 90.00
_cell_angle_gamma 120.00
_space_group_name_H-M_alt 'P 1'
_space_group_IT_number 1
loop_
_space_group_symop_operation_xyz
'x,y,z'
loop_
_atom_site_label
_atom_site_fract_x
_atom_site_fract_y
_atom_site_fract_z
Ho1 0.6667 0.3333 0.2500
Ho2 0.3333 0.6667 0.7500
Sc1 0.0823 0.5411 0.2500
Sc2 0.4589 0.5411 0.2500
Sc3 0.4589 0.9177 0.2500
Sc4 0.5411 0.0823 0.7500
Sc5 0.5411 0.4589 0.7500
Sc6 0.9177 0.4589 0.7500
Te1 0.0000 0.0000 0.2500
Te2 0.0000 0.0000 0.7500
# DFT total energy: -4.5568 eV/atom
# Space group: P6_3/mmc


No. 2
# GGA-PBE HoScTe, relaxed
data_HoScTe
_cell_length_a 4.8960
_cell_length_b 4.8960
_cell_length_c 4.8960
_cell_angle_alpha 60.00
_cell_angle_beta 60.00
_cell_angle_gamma 60.00
_space_group_name_H-M_alt 'P 1'
_space_group_IT_number 1
loop_
_space_group_symop_operation_xyz
'x,y,z'
loop_
_atom_site_label
_atom_site_fract_x
_atom_site_fract_y
_atom_site_fract_z
Ho1 0.2500 0.2500 0.2500
Sc1 0.7500 0.7500 0.7500
Te1 0.0000 0.0000 0.0000
# DFT total energy: -5.1062 eV/atom
# Space group: F-43m


No. 3
# GGA-PBE HoThSc, relaxed
data_HoThSc
_cell_length_a 5.2507
_cell_length_b 5.2507
_cell_length_c 5.2507
_cell_angle_alpha 60.00
_cell_angle_beta 60.00
_cell_angle_gamma 60.00
_space_group_name_H-M_alt 'P 1'
_space_group_IT_number 1
loop_
_space_group_symop_operation_xyz
'x,y,z'
loop_
_atom_site_label
_atom_site_fract_x
_atom_site_fract_y
_atom_site_fract_z
Ho1 0.2500 0.2500 0.2500
Sc1 0.0000 0.0000 0.0000
Th1 0.7500 0.7500 0.7500
# DFT total energy: -5.3743 eV/atom
# Energy of formation: 0.73 eV per atom
# Space group: F-43m


No. 4
# GGA-PBE HoTmSc, relaxed
data_HoTmSc
_cell_length_a 5.1998
_cell_length_b 5.1998
_cell_length_c 5.1998
_cell_angle_alpha 60.00
_cell_angle_beta 60.00
_cell_angle_gamma 60.00
_space_group_name_H-M_alt 'P 1'
_space_group_IT_number 1
loop_
_space_group_symop_operation_xyz
'x,y,z'
loop_
_atom_site_label
_atom_site_fract_x
_atom_site_fract_y
_atom_site_fract_z
Ho1 0.2500 0.2500 0.2500
Sc1 0.0000 0.0000 0.0000
Tm1 0.7500 0.7500 0.7500
# DFT total energy: -4.4331 eV/atom
# Energy of formation: 0.69 eV per atom
# Space group: F-43m


No. 5
# GGA-PBE HoScU, relaxed
data_HoScU
_cell_length_a 5.0751
_cell_length_b 5.0751
_cell_length_c 5.0751
_cell_angle_alpha 60.00
_cell_angle_beta 60.00
_cell_angle_gamma 60.00
_space_group_name_H-M_alt 'P 1'
_space_group_IT_number 1
loop_
_space_group_symop_operation_xyz
'x,y,z'
loop_
_atom_site_label
_atom_site_fract_x
_atom_site_fract_y
_atom_site_fract_z
Ho1 0.2500 0.2500 0.2500
Sc1 0.0000 0.0000 0.0000
U1 0.7500 0.7500 0.7500
# DFT total energy: -6.2115 eV/atom
# Energy of formation: 1.19 eV per atom
# Space group: F-43m


No. 6
# GGA-PBE HoScW, relaxed
data_HoScW
_cell_length_a 4.7428
_cell_length_b 4.7428
_cell_length_c 4.7428
_cell_angle_alpha 60.00
_cell_angle_beta 60.00
_cell_angle_gamma 60.00
_space_group_name_H-M_alt 'P 1'
_space_group_IT_number 1
loop_
_space_group_symop_operation_xyz
'x,y,z'
loop_
_atom_site_label
_atom_site_fract_x
_atom_site_fract_y
_atom_site_fract_z
Ho1 0.0000 0.0000 0.0000
Sc1 0.2500 0.2500 0.2500
W1 0.7500 0.7500 0.7500
# DFT total energy: -6.5015 eV/atom
# Energy of formation: 1.45 eV per atom
# Space group: F-43m